[1]
VASP calculation (GGA-PBE) on a relaxed Y5Fe crystal.

Properties
Energy of formation from the pure elements (kcal/mol of atoms): 15.5

a = 6.3860 Å, b = 6.3860 Å, c = 6.3860 Å
α = 60.00°, β = 60.00°, γ = 60.00°
Closest atoms and distances in Å follow each position.
Fractional positions:
Y 0.6250 0.6250 0.1250  6 Y 3.19
Y 0.2500 0.2500 0.2500  12 Y 3.74, 4 Fe 3.91
Y 0.6250 0.6250 0.6250  6 Y 3.19
Y 0.1250 0.6250 0.6250  6 Y 3.19
Y 0.6250 0.1250 0.6250  6 Y 3.19
Fe 0.0000 0.0000 0.0000  16 Y 3.74-3.91



[2]
VASP calculation (GGA-PBE) on a relaxed Zr2TiPb3O9 crystal.

a = 4.2360 Å, b = 4.2360 Å, c = 12.2701 Å
α = 89.45°, β = 89.45°, γ = 88.47°
Closest atoms and distances in Å follow each position.
Fractional positions:
Zr 0.0290 0.0290 0.0025  6 O 2.04-2.22
Zr 0.0275 0.0275 0.3464  6 O 2.04-2.22
Ti 0.0540 0.0540 0.6741  4 O 1.84-2.00
Pb 0.5872 0.5872 0.1873  3 O 2.41-2.50
Pb 0.5839 0.5839 0.5298  3 O 2.40-2.46
Pb 0.5863 0.5863 0.8434  3 O 2.41-2.51
O 0.5079 0.9804 0.3359  2 Zr 2.04-2.22
O 0.4845 0.9908 0.6682  1 Ti 1.84
O 0.5096 0.9831 0.9928  2 Zr 2.04-2.22
O 0.9836 0.9836 0.1710  2 Zr 2.08-2.17
O 0.9794 0.9794 0.5157  1 Ti 2.00, 1 Zr 2.09
O 0.9820 0.9820 0.8256  1 Ti 1.90
O 0.9804 0.5079 0.3359  2 Zr 2.04-2.22
O 0.9908 0.4845 0.6682  1 Ti 1.84
O 0.9831 0.5096 0.9928  2 Zr 2.04-2.22



[3]
VASP calculation (GGA-PBE) on a relaxed NaInCoH6 crystal.

a = 4.7913 Å, b = 4.7914 Å, c = 4.3230 Å
α = 90.03°, β = 89.97°, γ = 59.97°
Closest atoms and distances in Å follow each position.
Fractional positions:
Na 0.6666 0.6667 0.5000  6 H 2.17
In 0.9999 0.0000 0.0000  6 H 2.06
Co 0.3335 0.3335 0.5000  6 H 1.58-1.59
H 0.0962 0.2963 0.2704  1 Co 1.58
H 0.2963 0.0962 0.7296  1 Co 1.58
H 0.6078 0.2965 0.7296  1 Co 1.59
H 0.0955 0.6076 0.7299  1 Co 1.58
H 0.2964 0.6078 0.2704  1 Co 1.59
H 0.6076 0.0955 0.2701  1 Co 1.58



[4]
VASP calculation (GGA-PBE) on a relaxed Tb4In3Au crystal.

Properties
Energy of formation from the pure elements (kcal/mol of atoms): -13.2

a = 3.5796 Å, b = 3.5796 Å, c = 16.2965 Å
α = 90.00°, β = 90.00°, γ = 90.00°
Closest atoms and distances in Å follow each position.
Fractional positions:
Au 0.5000 0.5000 0.0000  8 Tb 3.11
Tb 0.0000 0.0000 0.8893  4 Au 3.11, 4 In 3.30
Tb 0.0000 0.0000 0.1107  4 Au 3.11, 4 In 3.30
Tb 0.0000 0.0000 0.3703  8 In 3.29-3.30, 4 Tb 3.58
Tb 0.0000 0.0000 0.6297  8 In 3.29-3.30, 4 Tb 3.58
In 0.5000 0.5000 0.2409  8 Tb 3.29-3.30, 4 In 3.58
In 0.5000 0.5000 0.5000  8 Tb 3.30, 4 In 3.58
In 0.5000 0.5000 0.7591  8 Tb 3.29-3.30, 4 In 3.58



[5]
VASP calculation (GGA-PBE) on a relaxed Zn4NiMo crystal.

Properties
Energy of formation from the pure elements (kcal/mol of atoms): 5.4

a = 4.9109 Å, b = 4.9109 Å, c = 4.9109 Å
α = 60.00°, β = 60.00°, γ = 60.00°
Closest atoms and distances in Å follow each position.
Fractional positions:
Zn 0.6245 0.6245 0.1266  6 Zn 2.44-2.47
Zn 0.6245 0.1266 0.6245  6 Zn 2.44-2.47
Zn 0.6245 0.6245 0.6245  6 Zn 2.44-2.47
Zn 0.1266 0.6245 0.6245  6 Zn 2.44-2.47
Ni 0.0000 0.0000 0.0000  12 Zn 2.88, 4 Mo 3.01
Mo 0.2500 0.2500 0.2500  12 Zn 2.88, 4 Ni 3.01



[6]
VASP calculation (GGA-PBE) on a relaxed K2Be2GeO6 crystal.

a = 5.3178 Å, b = 5.3178 Å, c = 6.5657 Å
α = 66.11°, β = 66.11°, γ = 60.00°
Closest atoms and distances in Å follow each position.
Fractional positions:
K 0.7927 0.7927 0.6219  9 O 2.86-2.92
K 0.2073 0.2073 0.3781  9 O 2.86-2.92
Be 0.3940 0.3940 0.8181  3 O 1.54
Be 0.6060 0.6060 0.1819  3 O 1.54
Ge 0.0000 0.0000 0.0000  6 O 1.91
O 0.7682 0.7682 0.1947  1 Be 1.54
O 0.2688 0.7682 0.1947  1 Be 1.54
O 0.7682 0.2688 0.1947  1 Be 1.54
O 0.2318 0.7312 0.8053  1 Be 1.54
O 0.7312 0.2318 0.8053  1 Be 1.54
O 0.2318 0.2318 0.8053  1 Be 1.54



[7]
VASP calculation (GGA-PBE) on a relaxed LaIn2Sb2 crystal.

a = 8.3772 Å, b = 8.3772 Å, c = 4.0761 Å
α = 90.00°, β = 90.00°, γ = 90.00°
Closest atoms and distances in Å follow each position.
Fractional positions:
Sb 0.1764 0.6764 0.5000  6 In 3.11-3.27
Sb 0.6764 0.8236 0.5000  6 In 3.11-3.27
Sb 0.8236 0.3236 0.5000  6 In 3.11-3.27
Sb 0.3236 0.1764 0.5000  6 In 3.11-3.27
In 0.3751 0.8751 0.0000  1 In 2.96, 6 Sb 3.11-3.27, 2 La 3.31
In 0.8751 0.6249 0.0000  1 In 2.96, 6 Sb 3.11-3.27, 2 La 3.31
In 0.6249 0.1249 0.0000  1 In 2.96, 6 Sb 3.11-3.27, 2 La 3.31
In 0.1249 0.3751 0.0000  1 In 2.96, 6 Sb 3.11-3.27, 2 La 3.31
La 0.0000 0.0000 0.0000  4 In 3.31, 8 Sb 3.70
La 0.5000 0.5000 0.0000  4 In 3.31, 8 Sb 3.70



[8]
VASP calculation (GGA-PBE) on a relaxed Cs2MnGeBr6 crystal.

a = 7.8078 Å, b = 7.8078 Å, c = 7.8087 Å
α = 60.00°, β = 60.00°, γ = 90.00°
Closest atoms and distances in Å follow each position.
Fractional positions:
Cs 0.7500 0.2500 0.5000  12 Br 3.90
Cs 0.2500 0.7500 0.5000  12 Br 3.90
Ge 0.0000 0.0000 0.0000  6 Br 2.83
Mn 0.5000 0.5000 0.0000  6 Br 2.70
Br 0.2559 0.2559 0.4882  1 Mn 2.70, 1 Ge 2.83
Br 0.7441 0.7441 0.5118  1 Mn 2.70, 1 Ge 2.83
Br 0.2559 0.2559 0.0000  1 Mn 2.70, 1 Ge 2.83
Br 0.7441 0.7441 0.0000  1 Mn 2.70, 1 Ge 2.83
Br 0.7441 0.2559 0.0000  1 Mn 2.70, 1 Ge 2.83
Br 0.2559 0.7441 0.0000  1 Mn 2.70, 1 Ge 2.83



Total DFT energy (no corrections) across the listed records, respectively: -6.13 -7.76 -3.36 -4.32 -3.38 -5.70 -4.03 -3.70 eV per atom.